No. 1
Computed, not measured: a geometry-optimized Sc2Cd3Ge3O12 structure at the PBEsol level of DFT.

formation energy without anion corrections = -2.0225 eV/atom
D(E_F) = 0.000 states/eV per atom
electronic total energy = -1080.5 eV/cell
calculated density = 5735 kg/m³
magnetic moment = 0.0 Bohr magnetons per cell

Cell lengths 12.4699, 12.4699, 12.4699 Å; angles 90.00, 90.00, 90.00 degrees
Space group Ia-3d (No. 230)
One atom of each set of equivalent atoms:
Sc 0.0000 0.0000 0.0000 x16
Cd 0.0000 0.2500 0.1250 x24
Ge 0.0000 0.2500 0.3750 x24
O 0.0337 0.0531 0.6553 x96

No. 2
Computed, not measured: a geometry-optimized LiCrO2 structure at the PBEsol level of DFT.

formation energy without anion corrections = -2.0400 eV/atom
electronic total energy = -92.6 eV/cell
calculated density = 4360 kg/m³
magnetic moment = 9.0 Bohr magnetons per cell

Cell lengths 2.9117, 2.9117, 14.1496 Å; angles 90.00, 90.00, 120.00 degrees
Space group R-3m (No. 166, hexagonal axes)
One atom of each set of equivalent atoms:
Li 0.0000 0.0000 0.0000 x3
Cr 0.0000 0.0000 0.5000 x3
O 0.0000 0.0000 0.2416 x6

No. 3
Computed, not measured: a geometry-optimized KP2Os structure at the PBEsol level of DFT.

calculated formation energy = 1171 meV/atom
D(E_F) = 0.876 states/eV per atom
electronic total energy = -40.5 eV/cell
calculated density = 7324 kg/m³
magnetic moment = 0.0 Bohr magnetons per cell

Cell lengths 3.8869, 3.8869, 8.7424 Å; angles 90.00, 90.00, 90.00 degrees
Space group I-4m2 (No. 119)
One atom of each set of equivalent atoms:
K 0.0000 0.0000 0.0000 x2
P 0.0000 0.0000 0.5000 x2
P 0.0000 0.5000 0.7500 x2
Os 0.0000 0.5000 0.2500 x2

No. 4
Computed, not measured: a geometry-optimized Sr2GdCu2HgO7 structure at the PBEsol level of DFT.

formation energy without anion corrections = -1.8068 eV/atom
D(E_F) = 0.288 states/eV per atom
electronic total energy = -87.6 eV/cell
calculated density = 7541 kg/m³
magnetic moment = 6.9 Bohr magnetons per cell

Cell lengths 3.7702, 3.7702, 11.9619 Å; angles 90.00, 90.00, 90.00 degrees
Space group P4/mmm (No. 123)
One atom of each set of equivalent atoms:
Sr 0.0000 0.0000 0.2010 x2
Gd 0.0000 0.0000 0.5000 x1
Cu 0.5000 0.5000 0.3550 x2
Hg 0.5000 0.5000 0.0000 x1
O 0.0000 0.0000 0.0000 x1
O 0.0000 0.5000 0.3771 x4
O 0.5000 0.5000 0.1760 x2

Repeat the third record exactly.
Computed, not measured: a geometry-optimized KP2Os structure at the PBEsol level of DFT.

calculated formation energy = 1171 meV/atom
D(E_F) = 0.876 states/eV per atom
electronic total energy = -40.5 eV/cell
calculated density = 7324 kg/m³
magnetic moment = 0.0 Bohr magnetons per cell

Cell lengths 3.8869, 3.8869, 8.7424 Å; angles 90.00, 90.00, 90.00 degrees
Space group I-4m2 (No. 119)
One atom of each set of equivalent atoms:
K 0.0000 0.0000 0.0000 x2
P 0.0000 0.0000 0.5000 x2
P 0.0000 0.5000 0.7500 x2
Os 0.0000 0.5000 0.2500 x2

What did the second record say?
Computed, not measured: a geometry-optimized LiCrO2 structure at the PBEsol level of DFT.

formation energy without anion corrections = -2.0400 eV/atom
electronic total energy = -92.6 eV/cell
calculated density = 4360 kg/m³
magnetic moment = 9.0 Bohr magnetons per cell

Cell lengths 2.9117, 2.9117, 14.1496 Å; angles 90.00, 90.00, 120.00 degrees
Space group R-3m (No. 166, hexagonal axes)
One atom of each set of equivalent atoms:
Li 0.0000 0.0000 0.0000 x3
Cr 0.0000 0.0000 0.5000 x3
O 0.0000 0.0000 0.2416 x6

- magnetic moment of number 2 (LiCrO2)?
  9.0 Bohr magnetons per cell

- Among the records above, which one has the highest electronic total energy?
  KP2Os